(1)
# RbNiHgOs2 PBE relaxed
data_RbNiHgOs2
_chemical_formula_sum 'Rb1 Ni1 Hg1 Os2'
_cell_length_a 4.8613
_cell_length_b 5.6106
_cell_length_c 4.8613
_cell_angle_alpha 90.00
_cell_angle_beta 90.00
_cell_angle_gamma 90.00
_symmetry_space_group_name_H-M 'P 1'
_symmetry_Int_Tables_number 1
loop_
_symmetry_equiv_pos_as_xyz
'x,y,z'
loop_
_atom_site_label
_atom_site_fract_x
_atom_site_fract_y
_atom_site_fract_z
Ni1 0.5000 0.5000 0.5000
Os1 0.0000 0.0000 0.5000
Os2 0.5000 0.0000 0.0000
Hg1 0.0000 0.5000 0.0000
Rb1 0.0000 0.0000 0.0000
# Energy relative to the elements, eV/atom: 3.586
# Electronic total energy, eV for the cell shown: -11.6
# Total magnetization, μB/atom: 0.720


(2)
# Ni3HgP PBE relaxed
data_Ni3HgP
_chemical_formula_sum 'Ni3 Hg1 P1'
_cell_length_a 4.6857
_cell_length_b 4.6857
_cell_length_c 4.6857
_cell_angle_alpha 90.00
_cell_angle_beta 90.00
_cell_angle_gamma 90.00
_symmetry_space_group_name_H-M 'P 1'
_symmetry_Int_Tables_number 1
loop_
_symmetry_equiv_pos_as_xyz
'x,y,z'
loop_
_atom_site_label
_atom_site_fract_x
_atom_site_fract_y
_atom_site_fract_z
Ni1 0.0000 0.5000 0.0000
Ni2 0.0000 0.0000 0.5000
Ni3 0.5000 0.0000 0.0000
Hg1 0.0000 0.0000 0.0000
P1 0.5000 0.5000 0.5000
# Energy relative to the elements, eV/atom: 1.563
# Electronic total energy, eV for the cell shown: -15.2
# ΔE to the lowest computed polymorph, meV per atom: 1563
# Total magnetization, μB/atom: 0.080


(3)
# Ni2HgP PBE relaxed
data_Ni2HgP
_chemical_formula_sum 'Ni2 Hg1 P1'
_cell_length_a 2.8870
_cell_length_b 2.8870
_cell_length_c 6.6330
_cell_angle_alpha 90.00
_cell_angle_beta 90.00
_cell_angle_gamma 87.02
_symmetry_space_group_name_H-M 'P 1'
_symmetry_Int_Tables_number 1
loop_
_symmetry_equiv_pos_as_xyz
'x,y,z'
loop_
_atom_site_label
_atom_site_fract_x
_atom_site_fract_y
_atom_site_fract_z
Ni1 0.0000 0.0000 0.3130
Ni2 0.0000 0.0000 0.6870
Hg1 0.5000 0.5000 0.0000
P1 0.5000 0.5000 0.5000
# Energy relative to the elements, eV/atom: -0.047
# Electronic total energy, eV for the cell shown: -17.5
# Total magnetization, μB/atom: 0.000


(4)
# Ni2HgP PBE relaxed
data_Ni2HgP
_chemical_formula_sum 'Ni2 Hg1 P1'
_cell_length_a 4.5774
_cell_length_b 4.5774
_cell_length_c 4.5774
_cell_angle_alpha 135.06
_cell_angle_beta 113.30
_cell_angle_gamma 84.06
_symmetry_space_group_name_H-M 'P 1'
_symmetry_Int_Tables_number 1
loop_
_symmetry_equiv_pos_as_xyz
'x,y,z'
loop_
_atom_site_label
_atom_site_fract_x
_atom_site_fract_y
_atom_site_fract_z
Ni1 0.8083 0.8083 0.0000
Ni2 0.1917 0.1917 0.0000
Hg1 0.5000 0.0000 0.5000
P1 0.0000 0.5000 0.5000
# Energy relative to the elements, eV/atom: 0.101
# Electronic total energy, eV for the cell shown: -16.9
# Total magnetization, μB/atom: 0.000


(5)
# Ni2HgP PBE relaxed
data_Ni2HgP
_chemical_formula_sum 'Ni2 Hg1 P1'
_cell_length_a 4.2939
_cell_length_b 4.2939
_cell_length_c 4.2939
_cell_angle_alpha 60.00
_cell_angle_beta 60.00
_cell_angle_gamma 60.00
_symmetry_space_group_name_H-M 'P 1'
_symmetry_Int_Tables_number 1
loop_
_symmetry_equiv_pos_as_xyz
'x,y,z'
loop_
_atom_site_label
_atom_site_fract_x
_atom_site_fract_y
_atom_site_fract_z
Ni1 0.2500 0.2500 0.2500
Ni2 0.7500 0.7500 0.7500
Hg1 0.5000 0.5000 0.5000
P1 0.0000 0.0000 0.0000
# Energy relative to the elements, eV/atom: 0.252
# Electronic total energy, eV for the cell shown: -16.3
# Total magnetization, μB/atom: 0.000


(6)
# Ni2HgP PBE relaxed
data_Ni2HgP
_chemical_formula_sum 'Ni2 Hg1 P1'
_cell_length_a 8.3668
_cell_length_b 8.3668
_cell_length_c 8.3668
_cell_angle_alpha 20.39
_cell_angle_beta 20.39
_cell_angle_gamma 20.39
_symmetry_space_group_name_H-M 'P 1'
_symmetry_Int_Tables_number 1
loop_
_symmetry_equiv_pos_as_xyz
'x,y,z'
loop_
_atom_site_label
_atom_site_fract_x
_atom_site_fract_y
_atom_site_fract_z
Ni1 0.0124 0.0124 0.0124
Ni2 0.7539 0.7539 0.7539
Hg1 0.2574 0.2574 0.2574
P1 0.4764 0.4764 0.4764
# Energy relative to the elements, eV/atom: 0.205
# Electronic total energy, eV for the cell shown: -16.5
# Total magnetization, μB/atom: 0.090


(7)
# NiHgP PBE relaxed
data_NiHgP
_chemical_formula_sum 'Ni1 Hg1 P1'
_cell_length_a 6.8590
_cell_length_b 6.8590
_cell_length_c 6.8590
_cell_angle_alpha 155.91
_cell_angle_beta 155.91
_cell_angle_gamma 34.33
_symmetry_space_group_name_H-M 'P 1'
_symmetry_Int_Tables_number 1
loop_
_symmetry_equiv_pos_as_xyz
'x,y,z'
loop_
_atom_site_label
_atom_site_fract_x
_atom_site_fract_y
_atom_site_fract_z
Ni1 0.3004 0.3004 0.0000
Hg1 0.9815 0.9815 0.0000
P1 0.7181 0.7181 0.0000
# Energy relative to the elements, eV/atom: 0.059
# Electronic total energy, eV for the cell shown: -11.3
# ΔE to the lowest computed polymorph, meV per atom: 36
# Total magnetization, μB/atom: 0.000


(8)
# NiHg4P PBE relaxed
data_NiHg4P
_chemical_formula_sum 'Ni1 Hg4 P1'
_cell_length_a 5.7295
_cell_length_b 5.7295
_cell_length_c 5.7295
_cell_angle_alpha 60.00
_cell_angle_beta 60.00
_cell_angle_gamma 60.00
_symmetry_space_group_name_H-M 'P 1'
_symmetry_Int_Tables_number 1
loop_
_symmetry_equiv_pos_as_xyz
'x,y,z'
loop_
_atom_site_label
_atom_site_fract_x
_atom_site_fract_y
_atom_site_fract_z
Ni1 0.7500 0.7500 0.7500
Hg1 0.8746 0.3752 0.3752
Hg2 0.3752 0.3752 0.8746
Hg3 0.3752 0.8746 0.3752
Hg4 0.3752 0.3752 0.3752
P1 0.0000 0.0000 0.0000
# Energy relative to the elements, eV/atom: 0.816
# Electronic total energy, eV for the cell shown: -7.5
# Total magnetization, μB/atom: 0.081